Entry 1:
# PBE Ce4CoBr5, relaxed
data_Ce4CoBr5
_chemical_formula_sum 'Ce4 Co1 Br5'
_cell_length_a 3.894
_cell_length_b 8.557
_cell_length_c 9.410
_cell_angle_alpha 100.62
_cell_angle_beta 101.94
_cell_angle_gamma 90.00
_space_group_name_H-M_alt 'P 1'
_space_group_IT_number 1
loop_
_space_group_symop_operation_xyz
'x,y,z'
loop_
_atom_site_label
_atom_site_fract_x
_atom_site_fract_y
_atom_site_fract_z
Br1 0.833 0.207 0.667
Br2 0.166 0.332 0.332
Br3 0.167 0.793 0.333
Br4 0.834 0.668 0.668
Br5 0.500 0.500 0.000
Ce1 0.336 0.936 0.673
Ce2 0.001 0.206 0.003
Ce3 0.999 0.794 0.997
Ce4 0.664 0.064 0.327
Co1 0.500 0.000 0.000
# DFT total energy	-5.195	eV/atom
# N(E_F)	18.8	states/eV/f.u.
# formation energy from raw total energies	-12.75	eV per formula unit

***

Entry 2:
# PBE CsCeCo2Br8, relaxed
data_CsCeCo2Br8
_chemical_formula_sum 'Cs1 Ce1 Co2 Br8'
_cell_length_a 6.932
_cell_length_b 6.932
_cell_length_c 11.246
_cell_angle_alpha 72.05
_cell_angle_beta 72.05
_cell_angle_gamma 60.00
_space_group_name_H-M_alt 'P 1'
_space_group_IT_number 1
loop_
_space_group_symop_operation_xyz
'x,y,z'
loop_
_atom_site_label
_atom_site_fract_x
_atom_site_fract_y
_atom_site_fract_z
Cs1 0.500 0.500 0.500
Br1 0.944 0.606 0.164
Br2 0.056 0.394 0.836
Br3 0.286 0.944 0.164
Br4 0.394 0.714 0.836
Br5 0.820 0.820 0.539
Br6 0.180 0.180 0.461
Br7 0.606 0.286 0.164
Br8 0.714 0.056 0.836
Ce1 0.000 0.000 0.000
Co1 0.746 0.746 0.761
Co2 0.254 0.254 0.239
# DFT total energy	-3.903	eV/atom
# N(E_F)	9.1	states/eV/f.u.
# formation energy from raw total energies	-12.46	eV per formula unit

***

Entry 3:
# PBE CeDyCoBr, relaxed
data_CeDyCoBr
_chemical_formula_sum 'Ce1 Dy1 Co1 Br1'
_cell_length_a 3.882
_cell_length_b 3.882
_cell_length_c 8.009
_cell_angle_alpha 90.01
_cell_angle_beta 104.02
_cell_angle_gamma 120.00
_space_group_name_H-M_alt 'P 1'
_space_group_IT_number 1
loop_
_space_group_symop_operation_xyz
'x,y,z'
loop_
_atom_site_label
_atom_site_fract_x
_atom_site_fract_y
_atom_site_fract_z
Dy1 0.506 0.151 0.673
Co1 0.310 0.553 0.879
Ce1 0.090 0.943 0.048
Br1 0.971 0.384 0.370
# DFT total energy	-5.563	eV/atom
# N(E_F)	5.4	states/eV/f.u.
# formation energy from raw total energies	-2.94	eV per formula unit

***

Entry 4:
# PBE CeHoCoBr, relaxed
data_CeHoCoBr
_chemical_formula_sum 'Ce1 Ho1 Co1 Br1'
_cell_length_a 3.875
_cell_length_b 3.875
_cell_length_c 7.993
_cell_angle_alpha 90.00
_cell_angle_beta 104.03
_cell_angle_gamma 120.00
_space_group_name_H-M_alt 'P 1'
_space_group_IT_number 1
loop_
_space_group_symop_operation_xyz
'x,y,z'
loop_
_atom_site_label
_atom_site_fract_x
_atom_site_fract_y
_atom_site_fract_z
Br1 0.971 0.384 0.370
Ce1 0.090 0.943 0.048
Ho1 0.507 0.151 0.673
Co1 0.310 0.553 0.878
# DFT total energy	-5.555	eV/atom
# N(E_F)	5.4	states/eV/f.u.
# formation energy from raw total energies	-2.93	eV per formula unit

***

Entry 5:
# PBE LaCeCoBr, relaxed
data_LaCeCoBr
_chemical_formula_sum 'La1 Ce1 Co1 Br1'
_cell_length_a 4.145
_cell_length_b 3.953
_cell_length_c 8.093
_cell_angle_alpha 86.33
_cell_angle_beta 104.84
_cell_angle_gamma 121.63
_space_group_name_H-M_alt 'P 1'
_space_group_IT_number 1
loop_
_space_group_symop_operation_xyz
'x,y,z'
loop_
_atom_site_label
_atom_site_fract_x
_atom_site_fract_y
_atom_site_fract_z
La1 0.495 0.129 0.672
Ce1 0.114 0.989 0.051
Co1 0.304 0.529 0.890
Br1 0.965 0.384 0.357
# DFT total energy	-5.670	eV/atom
# N(E_F)	5.8	states/eV/f.u.
# formation energy from raw total energies	-3.04	eV per formula unit

***

Entry 6:
# PBE Ce8CoOs3Br4, relaxed
data_Ce8CoOs3Br4
_chemical_formula_sum 'Ce8 Co1 Os3 Br4'
_cell_length_a 8.073
_cell_length_b 8.965
_cell_length_c 8.076
_cell_angle_alpha 116.78
_cell_angle_beta 119.99
_cell_angle_gamma 90.00
_space_group_name_H-M_alt 'P 1'
_space_group_IT_number 1
loop_
_space_group_symop_operation_xyz
'x,y,z'
loop_
_atom_site_label
_atom_site_fract_x
_atom_site_fract_y
_atom_site_fract_z
Br1 0.500 0.000 0.500
Br2 0.500 0.000 0.000
Br3 0.000 0.000 0.000
Br4 0.000 0.000 0.500
Ce1 0.230 0.694 0.459
Ce2 0.268 0.303 0.535
Ce3 0.735 0.693 0.964
Ce4 0.732 0.697 0.465
Ce5 0.771 0.307 0.036
Ce6 0.229 0.693 0.964
Ce7 0.770 0.306 0.541
Ce8 0.265 0.307 0.036
Os1 0.500 0.500 0.500
Os2 0.000 0.500 0.500
Os3 0.500 0.500 0.000
Co1 0.000 0.500 0.000
# DFT total energy	-6.685	eV/atom
# N(E_F)	38.9	states/eV/f.u.
# formation energy from raw total energies	-12.00	eV per formula unit

***

Entry 7:
# PBE Ce6Co2OsBr3, relaxed
data_Ce6Co2OsBr3
_chemical_formula_sum 'Ce6 Co2 Os1 Br3'
_cell_length_a 6.898
_cell_length_b 6.898
_cell_length_c 7.990
_cell_angle_alpha 98.29
_cell_angle_beta 98.29
_cell_angle_gamma 119.98
_space_group_name_H-M_alt 'P 1'
_space_group_IT_number 1
loop_
_space_group_symop_operation_xyz
'x,y,z'
loop_
_atom_site_label
_atom_site_fract_x
_atom_site_fract_y
_atom_site_fract_z
Br1 0.165 0.835 0.500
Br2 0.500 0.500 0.500
Br3 0.835 0.165 0.500
Ce1 0.064 0.404 0.192
Ce2 0.724 0.724 0.192
Ce3 0.404 0.064 0.192
Ce4 0.276 0.276 0.808
Ce5 0.596 0.936 0.808
Ce6 0.936 0.596 0.808
Co1 0.667 0.333 0.000
Co2 0.333 0.667 0.000
Os1 0.000 0.000 0.000
# DFT total energy	-6.234	eV/atom
# N(E_F)	29.6	states/eV/f.u.
# formation energy from raw total energies	-8.75	eV per formula unit

***

Entry 8:
# PBE Ce6CoOs2Br3, relaxed
data_Ce6CoOs2Br3
_chemical_formula_sum 'Ce6 Co1 Os2 Br3'
_cell_length_a 6.971
_cell_length_b 6.971
_cell_length_c 7.998
_cell_angle_alpha 98.36
_cell_angle_beta 98.36
_cell_angle_gamma 119.99
_space_group_name_H-M_alt 'P 1'
_space_group_IT_number 1
loop_
_space_group_symop_operation_xyz
'x,y,z'
loop_
_atom_site_label
_atom_site_fract_x
_atom_site_fract_y
_atom_site_fract_z
Br1 0.168 0.832 0.500
Br2 0.500 0.500 0.500
Br3 0.832 0.168 0.500
Os1 0.333 0.667 0.000
Os2 0.667 0.333 0.000
Ce1 0.737 0.737 0.195
Ce2 0.393 0.065 0.194
Ce3 0.263 0.263 0.805
Ce4 0.935 0.607 0.806
Ce5 0.607 0.935 0.806
Ce6 0.065 0.393 0.194
Co1 0.000 0.000 0.000
# DFT total energy	-6.592	eV/atom
# N(E_F)	29.1	states/eV/f.u.
# formation energy from raw total energies	-8.91	eV per formula unit

***

Entry 9:
# PBE CePmCoBr, relaxed
data_CePmCoBr
_chemical_formula_sum 'Ce1 Pm1 Co1 Br1'
_cell_length_a 4.071
_cell_length_b 3.906
_cell_length_c 8.015
_cell_angle_alpha 87.17
_cell_angle_beta 104.71
_cell_angle_gamma 121.42
_space_group_name_H-M_alt 'P 1'
_space_group_IT_number 1
loop_
_space_group_symop_operation_xyz
'x,y,z'
loop_
_atom_site_label
_atom_site_fract_x
_atom_site_fract_y
_atom_site_fract_z
Pm1 0.496 0.133 0.670
Ce1 0.110 0.983 0.049
Co1 0.301 0.524 0.888
Br1 0.971 0.391 0.363
# DFT total energy	-5.598	eV/atom
# N(E_F)	5.2	states/eV/f.u.
# formation energy from raw total energies	-2.93	eV per formula unit

***

Entry 10:
# PBE Ce7CrBr12, relaxed
data_Ce7CrBr12
_chemical_formula_sum 'Ce7 Cr1 Br12'
_cell_length_a 9.447
_cell_length_b 9.447
_cell_length_c 9.447
_cell_angle_alpha 107.33
_cell_angle_beta 107.33
_cell_angle_gamma 107.33
_space_group_name_H-M_alt 'P 1'
_space_group_IT_number 1
loop_
_space_group_symop_operation_xyz
'x,y,z'
loop_
_atom_site_label
_atom_site_fract_x
_atom_site_fract_y
_atom_site_fract_z
Br1 0.924 0.316 0.778
Br2 0.684 0.222 0.076
Br3 0.157 0.383 0.469
Br4 0.531 0.843 0.617
Br5 0.778 0.924 0.316
Br6 0.617 0.531 0.843
Br7 0.076 0.684 0.222
Br8 0.383 0.469 0.157
Br9 0.469 0.157 0.383
Br10 0.316 0.778 0.924
Br11 0.843 0.617 0.531
Br12 0.222 0.076 0.684
Ce1 0.891 0.970 0.687
Ce2 0.313 0.109 0.030
Ce3 0.109 0.030 0.313
Ce4 0.970 0.687 0.891
Ce5 0.687 0.891 0.970
Ce6 0.030 0.313 0.109
Ce7 0.500 0.500 0.500
Cr1 0.000 0.000 0.000
# DFT total energy	-4.986	eV/atom
# N(E_F)	42.1	states/eV/f.u.
# formation energy from raw total energies	-28.49	eV per formula unit

***

Entry 11:
# PBE Ce2CrSe2Br4, relaxed
data_Ce2CrSe2Br4
_chemical_formula_sum 'Ce2 Cr1 Se2 Br4'
_cell_length_a 3.824
_cell_length_b 3.824
_cell_length_c 21.755
_cell_angle_alpha 90.00
_cell_angle_beta 90.00
_cell_angle_gamma 120.00
_space_group_name_H-M_alt 'P 1'
_space_group_IT_number 1
loop_
_space_group_symop_operation_xyz
'x,y,z'
loop_
_atom_site_label
_atom_site_fract_x
_atom_site_fract_y
_atom_site_fract_z
Ce1 0.000 0.000 0.994
Ce2 0.667 0.333 0.639
Cr1 0.000 0.000 0.325
Se1 0.667 0.333 0.391
Se2 0.667 0.333 0.260
Br1 0.000 0.000 0.732
Br2 0.667 0.333 0.902
Br3 0.667 0.333 0.086
Br4 0.000 0.000 0.548
# DFT total energy	-5.027	eV/atom
# N(E_F)	17.2	states/eV/f.u.
# formation energy from raw total energies	-10.09	eV per formula unit

***

Entry 12:
# PBE CsCe2Br7, relaxed
data_CsCe2Br7
_chemical_formula_sum 'Cs1 Ce2 Br7'
_cell_length_a 5.844
_cell_length_b 8.823
_cell_length_c 8.823
_cell_angle_alpha 116.37
_cell_angle_beta 90.00
_cell_angle_gamma 90.00
_space_group_name_H-M_alt 'P 1'
_space_group_IT_number 1
loop_
_space_group_symop_operation_xyz
'x,y,z'
loop_
_atom_site_label
_atom_site_fract_x
_atom_site_fract_y
_atom_site_fract_z
Br1 0.000 0.292 0.708
Br2 0.500 0.500 0.500
Br3 0.000 0.708 0.292
Br4 0.500 0.327 0.050
Br5 0.500 0.050 0.327
Br6 0.500 0.673 0.950
Br7 0.500 0.950 0.673
Ce1 0.500 0.303 0.697
Ce2 0.500 0.697 0.303
Cs1 0.000 0.000 0.000
# DFT total energy	-4.263	eV/atom
# N(E_F)	12.0	states/eV/f.u.
# formation energy from raw total energies	-18.20	eV per formula unit